Record 1
This record from Alexandria via LeMat-Bulk describes a geometry-optimized CuI2N2 structure. The functional is PBE.

Calculated values
DOS at the Fermi energy, states/eV/atom: 0.93
ΔE to the lowest computed polymorph, kJ/mol of atoms: 171.5
Symmetry: P4/mmm (123)
Energy relative to the elements, uncorrected, meV/atom: 1733.4
Crystal system: tetragonal

abc: 5.8139 5.8139 3.5631
angles: 90.00 90.00 90.00
Site moments in Bohr magnetons follow the coordinates.
Fractional positions:
1 N 0.0000 0.0000 0.5000  0.94
2 Cu 0.0000 0.0000 0.0000  0.25
3 I 0.0000 0.5000 0.0000  0.05
4 I 0.5000 0.0000 0.0000  0.05
5 N 0.5000 0.5000 0.5000  1.81

***

Record 2
This record from Alexandria via LeMat-Bulk describes a geometry-optimized BaMn2Tc structure. The functional is PBE.

Calculated values
DOS at the Fermi energy, states/eV/atom: 1.06
ΔE to the lowest computed polymorph, kJ/mol of atoms: 2.4
Symmetry: R3m (160)
Crystal system: trigonal
E_form, eV/atom: 0.51

abc: 4.1430 4.1430 6.5421
angles: 71.57 71.57 59.98
Site moments in Bohr magnetons follow the coordinates.
Fractional positions:
1 Tc 0.4462 0.4462 0.6611  0.04
2 Ba 0.2517 0.2517 0.2453  0.02
3 Mn 0.7380 0.7380 0.7861  -2.16
4 Mn 0.0641 0.0641 0.8075  2.32

***

Record 3
This record from Alexandria via LeMat-Bulk describes a geometry-optimized NaLiCeCl6 structure. The functional is PBE.

Calculated values
Symmetry: P-31c (163)
Energy relative to the elements, uncorrected, meV/atom: -1891.3
Crystal system: trigonal

abc: 6.7180 6.7180 12.5430
angles: 90.00 90.00 120.00
Fractional positions:
1 Cl 0.6452 0.6485 0.1326
2 Cl 0.0034 0.3548 0.1326
3 Ce 0.6667 0.3333 0.2500
4 Na 0.0000 0.0000 0.0000
5 Cl 0.3515 0.3548 0.3674
6 Cl 0.3515 0.9966 0.1326
7 Cl 0.6485 0.6452 0.6326
8 Cl 0.6485 0.0034 0.8674
9 Cl 0.0034 0.6485 0.3674
10 Na 0.0000 0.0000 0.5000
11 Cl 0.6452 0.9966 0.3674
12 Li 0.6667 0.3333 0.7500
13 Cl 0.3548 0.0034 0.6326
14 Cl 0.3548 0.3515 0.8674
15 Ce 0.3333 0.6667 0.7500
16 Li 0.3333 0.6667 0.2500
17 Cl 0.9966 0.3515 0.6326
18 Cl 0.9966 0.6452 0.8674

***

Record 4
This record from Alexandria via LeMat-Bulk describes a geometry-optimized CaTlPO2 structure. The functional is PBE.

Calculated values
DOS at the Fermi energy, states/eV/atom: 1.02
ΔE to the lowest computed polymorph, kJ/mol of atoms: 1.5
Symmetry: P4/mmm (123)
Energy relative to the elements, uncorrected, meV/atom: -265.9
Crystal system: tetragonal

abc: 4.3552 4.3552 5.8912
angles: 90.00 90.00 90.00
Site moments in Bohr magnetons follow the coordinates.
Fractional positions:
1 O 0.0000 0.5000 0.0000  0.76
2 Tl 0.5000 0.5000 0.5000  0.01
3 O 0.5000 0.0000 0.0000  0.76
4 P 0.0000 0.0000 0.5000  0.37
5 Ca 0.0000 0.0000 0.0000  0.00